SrCuSF | meta-GGA SCAN | single point on PBEsol structure

Calculated values
* DFT total energy: -14.936 eV/atom
* DOS(E_F): 0.0 states/eV/f.u.
* raw formation energy: -9.100 eV per formula unit

Lattice parameters (Å, degrees): 3.894 3.894 8.543 90.00 90.00 90.00
Space group P4/nmm (No. 129, origin choice 2)
One atom of each set of equivalent atoms:
Sr1 0.250 0.250 0.171 x2
Cu1 0.250 0.750 0.500 x2
S1 0.250 0.250 0.660 x2
F1 0.250 0.750 0.000 x2

---

ScCuF2 | meta-GGA SCAN | single point on PBEsol structure

Calculated values
* DFT total energy: -11.154 eV/atom
* DOS(E_F): 1.6 states/eV/f.u.
* raw formation energy: -8.100 eV per formula unit

Lattice parameters (Å, degrees): 2.9003 2.9003 25.1095 90.00 90.00 120.00
Space group R-3m (No. 166, hexagonal axes)
One atom of each set of equivalent atoms:
Sc1 0.0000 0.0000 0.0000 x3
Cu1 0.0000 0.0000 0.5000 x3
F1 0.0000 0.0000 0.3844 x6

---

Q: What is the DOS(E_F) in the second record?
A: 1.6 states/eV/f.u.